1.
This record from Alexandria describes an optimized crystal structure of Ba3Na2Li2Au4. The functional is GGA-PBE.

- Calculated total energy: -2.7700 eV/atom
- DOS at the Fermi energy: 6.34 states/eV/f.u.

Cell lengths 4.8013, 4.8013, 17.0005 Å; angles 90.00, 90.00, 120.00 degrees
Fractional positions:
Au 0.6667 0.3333 0.1301
Ba 0.0000 0.0000 0.7341
Na 0.3333 0.6667 0.5562
Au 0.3333 0.6667 0.8699
Na 0.6667 0.3333 0.4438
Au 0.6667 0.3333 0.6282
Au 0.3333 0.6667 0.3718
Li 0.6667 0.3333 0.8655
Ba 0.0000 0.0000 0.2659
Ba 0.0000 0.0000 0.0000
Li 0.3333 0.6667 0.1345



2.
This record from Alexandria describes an optimized crystal structure of ThTi2Tl. The functional is GGA-PBE.

- Calculated total energy: -6.2448 eV/atom
- Polymorph energy (0 for the lowest one): 50 meV per atom
- DOS at the Fermi energy: 5.84 states/eV/f.u.

Cell lengths 4.9596, 4.9596, 4.9593 Å; angles 60.00, 60.00, 60.00 degrees
Fractional positions:
Ti 0.7499 0.7499 0.7502
Tl 0.5000 0.5000 0.5000
Th 0.0000 0.0000 0.0000
Ti 0.2501 0.2501 0.2498



The highest DOS at the Fermi energy belongs to which entry?
Ba3Na2Li2Au4